A plane-wave DFT calculation with PBE was carried out for a geometry-optimized Te2RuAuN structure.

a = 5.563 Å, b = 5.563 Å, c = 3.705 Å
α = 90.00°, β = 90.00°, γ = 90.00°
Space group P4/mmm (No. 123)
Inequivalent atoms, fractional coordinates:
Te 0.000 0.500 0.000 x2
Ru 0.000 0.000 0.500 x1
Au 0.500 0.500 0.000 x1
N 0.500 0.500 0.500 x1

Computed properties:
The final energy comes out at -3.98 eV per atom. The polymorph energy (0 for the lowest one) is 1067 meV per atom. The energy relative to the elements, uncorrected comes out at 1452.2 meV per atom.